Entry 1:
ZrScSb2 | PBE | optimized geometry

a b c (Å): 4.432 4.461 10.937
angles (deg): 90.00 90.00 90.00
Space group Cmm2 (No. 35)
Inequivalent atoms, fractional coordinates:
Zr: 0.000 0.000 0.000 (multiplicity 2)
Sc: 0.000 0.500 0.783 (multiplicity 2)
Sb: 0.000 0.000 0.573 (multiplicity 2)
Sb: 0.000 0.500 0.210 (multiplicity 2)

Formation energy without anion corrections (eV per atom): -0.273
Energy above the lowest structure with this stoichiometry (meV/atom): 488
Magnetization (μB per cell): 0.0
Total energy (eV/cell): -48.4

***

Entry 2:
BaMg2Sb | PBE | optimized geometry

a b c (Å): 4.107 4.107 7.471
angles (deg): 90.00 90.00 90.00
Space group P4/mmm (No. 123)
Inequivalent atoms, fractional coordinates:
Ba: 0.000 0.000 0.000 (multiplicity 1)
Mg: 0.500 0.500 0.308 (multiplicity 2)
Sb: 0.000 0.000 0.500 (multiplicity 1)

Formation energy without anion corrections (eV per atom): -0.187
Magnetization (μB per cell): 0.0
Total energy (eV/cell): -10.0

***

Entry 3:
ScCuP2 | PBE | optimized geometry

a b c (Å): 3.9925 3.9925 15.1940
angles (deg): 90.00 90.00 120.00
Space group R3m (No. 160, hexagonal axes)
Inequivalent atoms, fractional coordinates:
Sc: 0.0000 0.0000 0.0000 (multiplicity 3)
Cu: 0.0000 0.0000 0.7964 (multiplicity 3)
P: 0.0000 0.0000 0.2560 (multiplicity 3)
P: 0.0000 0.0000 0.4161 (multiplicity 3)

Formation energy from the elements (kJ per mole of atoms): -50
Magnetization (μB per cell): 0.0
Total energy (eV/cell): -70.0

***

Entry 4:
Cs2NbTeO6 | PBE | optimized geometry

a b c (Å): 5.968 5.970 8.446
angles (deg): 90.00 90.00 90.00
Space group Immm (No. 71)
Inequivalent atoms, fractional coordinates:
Cs: 0.000 0.000 0.250 (multiplicity 4)
Nb: 0.000 0.500 0.000 (multiplicity 2)
Te: 0.000 0.500 0.500 (multiplicity 2)
O: 0.000 0.500 0.244 (multiplicity 4)
O: 0.245 0.256 0.000 (multiplicity 8)

Formation energy without anion corrections (eV per atom): -1.571
Magnetization (μB per cell): 0.0
Total energy (eV/cell): -120.7

***

Entry 5:
Y6HgGe2Te3 | PBE | optimized geometry

a b c (Å): 18.921 4.253 8.730
angles (deg): 90.00 105.75 90.00
Space group C2/m (No. 12)
Inequivalent atoms, fractional coordinates:
Y: 0.007 0.000 0.254 (multiplicity 4)
Y: 0.168 0.500 0.103 (multiplicity 4)
Y: 0.174 0.500 0.564 (multiplicity 4)
Hg: 0.000 0.500 0.000 (multiplicity 2)
Ge: 0.166 0.000 0.330 (multiplicity 4)
Te: 0.000 0.500 0.500 (multiplicity 2)
Te: 0.165 0.000 0.830 (multiplicity 4)

Formation energy without anion corrections (eV per atom): -1.086
Magnetization (μB per cell): 0.0
Total energy (eV/cell): -141.5

***

Entry 6:
Nb2VH | PBE | optimized geometry

a b c (Å): 5.559 2.774 7.111
angles (deg): 90.00 102.23 90.00
Space group P2_1 (No. 4)
Inequivalent atoms, fractional coordinates:
Nb: 0.073 0.000 0.313 (multiplicity 2)
Nb: 0.422 0.003 0.688 (multiplicity 2)
V: 0.250 0.374 0.001 (multiplicity 2)
H: 0.303 0.508 0.473 (multiplicity 2)

Energy above the lowest structure with this stoichiometry (meV/atom): 0
Magnetization (μB per cell): 0.0
Total energy (eV/cell): -65.0

***

Entry 7:
NaLa2Sn3Pt4 | PBE | optimized geometry

a b c (Å): 4.569 4.569 11.058
angles (deg): 90.00 90.00 90.00
Space group P-4m2 (No. 115)
Inequivalent atoms, fractional coordinates:
Na: 0.000 0.000 0.000 (multiplicity 1)
La: 0.000 0.500 0.740 (multiplicity 2)
Sn: 0.000 0.500 0.374 (multiplicity 2)
Sn: 0.500 0.500 0.000 (multiplicity 1)
Pt: 0.000 0.000 0.500 (multiplicity 1)
Pt: 0.000 0.500 0.139 (multiplicity 2)
Pt: 0.500 0.500 0.500 (multiplicity 1)

Formation energy from the elements (kJ per mole of atoms): -77
Magnetization (μB per cell): 0.0
Total energy (eV/cell): -55.3

***

Entry 8:
UAsO5F | PBE | optimized geometry

a b c (Å): 8.060 7.542 8.309
angles (deg): 90.00 118.26 90.00
Space group C2/c (No. 15)
Inequivalent atoms, fractional coordinates:
U: 0.250 0.250 0.000 (multiplicity 4)
As: 0.000 0.093 0.250 (multiplicity 4)
O: 0.000 0.142 0.750 (multiplicity 4)
O: 0.103 0.228 0.150 (multiplicity 8)
O: 0.220 0.033 0.462 (multiplicity 8)
F: 0.000 0.422 0.750 (multiplicity 4)

Formation energy without anion corrections (eV per atom): -2.022
Magnetization (μB per cell): 0.0
Total energy (eV/cell): -235.1